Entry from Alexandria via LeMat-Bulk: a relaxed structure of Li2CaMoF8 (PBE+U).

Calculated values
* density of states at the Fermi level: 0.00 states/eV per cell
* total DFT energy (no corrections): -5.320 eV per atom

a = 4.790 Å, b = 4.819 Å, c = 6.958 Å
α = 88.08°, β = 87.47°, γ = 86.16°
Fractional coordinates of all 12 atoms:
Li (0.015, 0.023, 0.293)
Li (0.985, 0.977, 0.707)
Ca (0.500, 0.500, 0.500)
Mo (0.500, 0.500, 0.000)
F (0.183, 0.191, 0.505)
F (0.217, 0.225, 0.024)
F (0.298, 0.703, 0.775)
F (0.304, 0.707, 0.218)
F (0.696, 0.293, 0.782)
F (0.702, 0.297, 0.225)
F (0.783, 0.775, 0.976)
F (0.817, 0.809, 0.495)